Record 1
## AlBi (PBE-GGA)

Data for a geometry-optimized AlBi structure.

## Properties
**Raw total energy**: -43.62 eV/cell
**Energy of formation from the pure elements**: 0.177 eV/atom

Cell: 4.5643 13.8856 6.9836 Å, 90.00 90.00 90.00°
Last column: nearest neighbours and their distance in Å.
Space group Pmmn (No. 59, origin choice 2)
Unique sites:
Al1 0.2500 0.1036 0.0941 (multiplicity 4)  4 Bi 2.79-2.84
Al2 0.2500 0.7500 0.4055 (multiplicity 2)  4 Bi 2.78-2.79
Bi1 0.2500 0.2500 0.3677 (multiplicity 2)  4 Al 2.78-2.79
Bi2 0.2500 0.5997 0.1402 (multiplicity 4)  4 Al 2.79-2.84

Record 2
## SmScPt (PBE-GGA)

Data for a geometry-optimized SmScPt structure.

## Properties
**Raw total energy**: -38.98 eV/cell
**Distance to the lowest polymorph of the same formula**: 114 meV per atom
**Energy of formation from the pure elements**: -0.800 eV/atom

Cell: 5.5597 4.7913 5.9201 Å, 90.00 107.47 90.00°
Last column: nearest neighbours and their distance in Å.
Space group P2_1/m (No. 11)
Unique sites:
Sm1 0.2126 0.2500 0.4127 (multiplicity 2)  4 Pt 2.92-3.15
Sc1 0.3326 0.7500 0.0097 (multiplicity 2)  4 Pt 2.71-2.97
Pt1 0.1092 0.2500 0.8675 (multiplicity 2)  4 Sc 2.71-2.97, 1 Sm 2.92

Record 3
## ZrBeSe (PBE-GGA)

Data for a geometry-optimized ZrBeSe structure.

## Properties
**Energy relative to the elements, uncorrected**: -0.197 eV per atom
**Raw total energy**: -16.35 eV/cell
**Distance to the lowest polymorph of the same formula**: 163 meV per atom

Cell: 4.0349 4.0349 3.4578 Å, 90.00 90.00 120.00°
Last column: nearest neighbours and their distance in Å.
Space group P-6m2 (No. 187)
Unique sites:
Zr1 0.0000 0.0000 0.0000 (multiplicity 1)  6 Se 2.90, 6 Be 2.90
Be1 0.3333 0.6667 0.5000 (multiplicity 1)  3 Se 2.33
Se1 0.6667 0.3333 0.5000 (multiplicity 1)  3 Be 2.33

Record 4
## KBaSn2 (PBE-GGA)

Data for a geometry-optimized KBaSn2 structure.

## Properties
**Raw total energy**: -51.56 eV/cell
**Distance to the lowest polymorph of the same formula**: 9 meV per atom
**Energy of formation from the pure elements**: -0.466 eV/atom

Cell: 6.9591 8.0327 10.9427 Å, 90.00 90.00 90.00°
Last column: nearest neighbours and their distance in Å.
Space group Pnma (No. 62)
Unique sites:
K1 0.0303 0.2500 0.2392 (multiplicity 4)  2 K 3.49, 4 Sn 3.64-3.85
Ba1 0.1370 0.2500 0.8750 (multiplicity 4)  6 Sn 3.55-3.74
Sn1 0.1666 0.0698 0.5608 (multiplicity 8)  2 Sn 2.90